The following is a DFT calculation (PBE-GGA) of LaTlCr4 after structural relaxation.

a = 5.2292 Å, b = 5.2292 Å, c = 5.2292 Å
α = 60.00°, β = 60.00°, γ = 60.00°
Closest atoms and distances in Å follow each position.
Fractional coordinates of all 6 atoms:
Tl1 0.0000 0.0000 0.0000  12 Cr 3.08, 4 La 3.20
Cr1 0.3794 0.8617 0.3794  6 Cr 2.52-2.71
Cr2 0.8617 0.3794 0.3794  6 Cr 2.52-2.71
Cr3 0.3794 0.3794 0.8617  6 Cr 2.52-2.71
Cr4 0.3794 0.3794 0.3794  6 Cr 2.52-2.71
La1 0.7500 0.7500 0.7500  12 Cr 3.06, 4 Tl 3.20

Values from the calculation:
- Energy of formation: 0.62 eV per atom
- DOS at the Fermi energy: 10.21 states/eV per cell
- E: -7.007 eV per atom
- Total moment: 0.057 μB/f.u.
- Crystal system: cubic